Yb4MgRu4O14, optimized geometry, DFT GGA-PBE; uncorrected formation energy = -1859 meV/atom; polymorph energy (0 for the lowest one) = 0.0 meV/atom
1.0
-2.488 2.130 6.582
-4.645 -4.342 3.690
2.327 -3.477 6.046
O Ru Yb Mg
14 4 4 1
direct
0.071 0.071 0.673
0.358 0.358 0.358
0.327 0.919 0.919
0.919 0.919 0.327
0.923 0.330 0.330
0.330 0.923 0.330
0.330 0.330 0.923
0.665 0.085 0.665
0.919 0.327 0.919
0.071 0.673 0.071
0.085 0.665 0.665
0.673 0.071 0.071
0.625 0.625 0.625
0.665 0.665 0.085
0.509 0.991 0.991
0.995 0.995 0.995
0.991 0.991 0.509
0.991 0.509 0.991
0.523 0.523 0.988
0.523 0.988 0.523
0.988 0.523 0.523
0.502 0.502 0.502
0.247 0.247 0.247

Yb4MgRu4O14, optimized geometry, DFT GGA-PBE; uncorrected formation energy = -1853 meV/atom; polymorph energy (0 for the lowest one) = 5.7 meV/atom
1.0
0.000 5.223 5.223
5.223 0.000 5.223
5.223 5.223 0.000
O Ru Yb Mg
14 4 4 1
direct
0.200 0.200 0.800
0.200 0.800 0.800
0.955 0.545 0.545
0.800 0.200 0.200
0.545 0.955 0.545
0.800 0.200 0.800
0.250 0.250 0.250
0.545 0.955 0.955
0.955 0.955 0.545
0.545 0.545 0.955
0.800 0.800 0.200
0.955 0.545 0.955
0.200 0.800 0.200
0.500 0.500 0.500
0.884 0.348 0.884
0.884 0.884 0.348
0.348 0.884 0.884
0.884 0.884 0.884
0.375 0.375 0.375
0.375 0.375 0.876
0.876 0.375 0.375
0.375 0.876 0.375
0.750 0.750 0.750

Mg2ZnRuO6, optimized geometry, DFT GGA-PBE; uncorrected formation energy = -1634 meV/atom
1.0
5.188 0.000 0.000
2.594 4.493 0.000
2.594 1.498 4.652
O Mg Zn Ru
6 2 1 1
direct
0.585 0.226 0.240
0.226 0.948 0.240
0.948 0.585 0.240
0.709 0.120 0.758
0.413 0.709 0.758
0.120 0.412 0.758
0.522 0.522 0.433
0.019 0.019 0.944
0.799 0.799 0.602
0.320 0.320 0.040

MgZrRuO6, optimized geometry, DFT GGA-PBE; uncorrected formation energy = -1932 meV/atom
1.0
-3.716 2.291 2.919
-0.411 -5.082 -1.259
4.498 -2.213 7.462
O Zr Ru Mg
12 2 2 2
direct
0.024 0.357 0.630
0.333 0.357 0.870
0.357 0.024 0.130
0.643 0.976 0.870
0.667 0.643 0.130
0.333 0.976 0.630
0.976 0.643 0.370
0.976 0.333 0.130
0.024 0.667 0.870
0.667 0.024 0.370
0.357 0.333 0.370
0.643 0.667 0.630
0.667 0.333 0.750
0.333 0.667 0.250
0.333 0.667 0.750
0.667 0.333 0.250
0.000 0.000 0.000
0.000 0.000 0.500

MgSO4, optimized geometry, DFT GGA-PBE; uncorrected formation energy = -1941 meV/atom
1.0
9.962 0.000 0.000
0.000 4.927 -0.007
0.000 4.936 5.987
S O Mg
4 16 4
direct
0.099 0.860 0.750
0.401 0.860 0.250
0.901 0.140 0.250
0.599 0.140 0.750
0.546 0.916 0.250
0.624 0.433 0.750
0.166 0.192 0.554
0.876 0.433 0.250
0.046 0.084 0.250
0.124 0.567 0.750
0.666 0.808 0.946
0.454 0.084 0.750
0.954 0.916 0.750
0.334 0.192 0.054
0.834 0.200 0.053
0.666 0.200 0.553
0.376 0.567 0.250
0.166 0.800 0.947
0.334 0.800 0.447
0.834 0.808 0.446
0.280 0.304 0.750
0.720 0.696 0.250
0.220 0.304 0.250
0.780 0.696 0.750

MgS2O, optimized geometry, DFT GGA-PBE; uncorrected formation energy = 763 meV/atom; polymorph energy (0 for the lowest one) = 1115.4 meV/atom
1.0
1.806 0.000 7.821
-0.903 1.564 7.821
-0.903 -1.564 7.821
Mg S O
1 2 1
direct
0.000 0.000 0.000
0.897 0.897 0.897
0.103 0.103 0.103
0.500 0.500 0.500

Question: Which value of uncorrected formation energy does entry 5 give?
Answer: -1941 meV/atom

Question: Look up the uncorrected formation energy of the fifth one.
Answer: -1941 meV/atom